Crystalline TaW2 at its relaxed geometry, computed with PBE-GGA.

- E_form: -95 meV per atom
- N(E_F): 3.313 states/eV per cell

Geometry as POSCAR:
```
TaW2
1.0
5.100 -1.606 0.000
5.100 1.606 0.000
-2.063 0.000 6.121
Ta W
2 4
direct
0.165 0.165 0.085
0.835 0.835 0.915
0.165 0.165 0.580
0.500 0.500 0.255
0.500 0.500 0.745
0.835 0.835 0.420
```